Density functional theory data (GGA-PBE) for a relaxed TiAlCo2 crystal.

Results
The formation energy comes out at 0.069 eV per atom. For the calculated volume, the calculation gives 13.62 A^3/atom. The density of states at the Fermi level is 0.821 states/eV per atom. Its space group is I-42d.

Cell lengths 6.371, 6.371, 5.244 Å; angles 52.60, 52.60, 90.00 degrees
Sites, in units of the cell vectors:
1 Co 0.875 0.885 0.750
2 Co 0.635 0.125 0.250
3 Co 0.375 0.365 0.750
4 Co 0.115 0.625 0.250
5 Al 0.500 0.500 0.000
6 Al 0.250 0.750 0.500
7 Ti 0.000 0.000 0.000
8 Ti 0.750 0.250 0.500

Density functional theory data (GGA-PBE) for a relaxed Ti2AlCo3 crystal.

Results
The formation energy comes out at -0.491 eV per atom. For the calculated volume, the calculation gives 12.73 A^3/atom. The density of states at the Fermi level is 0.606 states/eV per atom. Its space group is Cmmm.

Cell lengths 2.967, 4.141, 6.554 Å; angles 108.41, 90.00, 90.00 degrees
Sites, in units of the cell vectors:
1 Co 0.500 0.170 0.339
2 Co 0.500 0.830 0.661
3 Co 0.500 0.500 0.000
4 Ti 0.000 0.337 0.674
5 Ti 0.000 0.663 0.326
6 Al 0.000 0.000 0.000

Density functional theory data (GGA-PBE) for a relaxed Ti13Al9Co8 crystal.

Results
The formation energy comes out at -0.521 eV per atom. For the calculated volume, the calculation gives 14.30 A^3/atom. The density of states at the Fermi level is 0.416 states/eV per atom. Its space group is R3m.

Cell lengths 8.477, 8.477, 8.477 Å; angles 59.82, 59.82, 59.82 degrees
Sites, in units of the cell vectors:
1 Co 0.004 0.004 0.004
2 Co 0.003 0.497 0.003
3 Co 0.501 0.501 0.501
4 Co 0.497 0.003 0.003
5 Co 0.500 0.003 0.500
6 Co 0.500 0.500 0.003
7 Co 0.003 0.003 0.497
8 Co 0.003 0.500 0.500
9 Ti 0.802 0.183 0.802
10 Ti 0.476 0.842 0.842
11 Ti 0.861 0.381 0.381
12 Ti 0.206 0.206 0.794
13 Ti 0.381 0.381 0.861
14 Ti 0.206 0.794 0.206
15 Ti 0.183 0.802 0.802
16 Ti 0.842 0.476 0.842
17 Ti 0.381 0.861 0.381
18 Ti 0.380 0.380 0.380
19 Ti 0.794 0.206 0.206
20 Ti 0.802 0.802 0.183
21 Ti 0.842 0.842 0.476
22 Al 0.162 0.162 0.517
23 Al 0.162 0.517 0.162
24 Al 0.829 0.829 0.829
25 Al 0.517 0.162 0.162
26 Al 0.146 0.619 0.619
27 Al 0.159 0.159 0.159
28 Al 0.619 0.619 0.146
29 Al 0.619 0.619 0.619
30 Al 0.619 0.146 0.619

Density functional theory data (GGA-PBE) for a relaxed TiAl3Co crystal.

Results
The formation energy comes out at -0.351 eV per atom. For the calculated volume, the calculation gives 14.63 A^3/atom. The density of states at the Fermi level is 0.889 states/eV per atom. Its space group is P2_1/c.

Cell lengths 5.385, 8.654, 6.548 Å; angles 106.55, 90.00, 90.00 degrees
Sites, in units of the cell vectors:
1 Al 0.755 0.486 0.461
2 Al 0.482 0.321 0.743
3 Al 0.209 0.413 0.106
4 Al 0.709 0.087 0.894
5 Al 0.791 0.587 0.894
6 Al 0.255 0.014 0.539
7 Al 0.291 0.913 0.106
8 Al 0.245 0.514 0.539
9 Al 0.018 0.821 0.743
10 Al 0.982 0.179 0.257
11 Al 0.745 0.986 0.461
12 Al 0.518 0.679 0.257
13 Ti 0.013 0.710 0.297
14 Ti 0.487 0.210 0.297
15 Ti 0.987 0.290 0.703
16 Ti 0.513 0.790 0.703
17 Co 0.736 0.374 0.070
18 Co 0.264 0.626 0.930
19 Co 0.764 0.874 0.070
20 Co 0.236 0.126 0.930

Density functional theory data (GGA-PBE) for a relaxed TiAl3Co crystal.

Results
The formation energy comes out at 0.064 eV per atom. For the calculated volume, the calculation gives 16.80 A^3/atom. The density of states at the Fermi level is 1.245 states/eV per atom. Its space group is Pm-3m.

Cell lengths 4.380, 4.380, 4.380 Å; angles 90.00, 90.00, 90.00 degrees
Sites, in units of the cell vectors:
1 Al 0.000 0.500 0.000
2 Al 0.500 0.000 0.000
3 Al 0.000 0.000 0.500
4 Co 0.000 0.000 0.000
5 Ti 0.500 0.500 0.500

Density functional theory data (GGA-PBE) for a relaxed Ti3AlCo crystal.

Results
The formation energy comes out at -0.244 eV per atom. For the calculated volume, the calculation gives 15.68 A^3/atom. The density of states at the Fermi level is 0.964 states/eV per atom. Its space group is Pmmn.

Cell lengths 4.254, 6.087, 6.056 Å; angles 90.00, 90.00, 90.00 degrees
Sites, in units of the cell vectors:
1 Ti 0.376 0.870 0.982
2 Ti 0.876 0.483 0.919
3 Ti 0.876 0.947 0.701
4 Ti 0.376 0.870 0.419
5 Ti 0.376 0.406 0.201
6 Ti 0.876 0.483 0.482
7 Co 0.376 0.616 0.701
8 Co 0.876 0.737 0.201
9 Al 0.376 0.237 0.701
10 Al 0.876 0.116 0.201

Density functional theory data (GGA-PBE) for a relaxed Ti3AlCo crystal.

Results
The formation energy comes out at 0.134 eV per atom. For the calculated volume, the calculation gives 17.97 A^3/atom. The density of states at the Fermi level is 2.576 states/eV per atom. Its space group is Pm-3m.

Cell lengths 4.479, 4.479, 4.479 Å; angles 90.00, 90.00, 90.00 degrees
Sites, in units of the cell vectors:
1 Ti 0.000 0.500 0.000
2 Ti 0.000 0.000 0.500
3 Ti 0.500 0.000 0.000
4 Al 0.500 0.500 0.500
5 Co 0.000 0.000 0.000

Density functional theory data (GGA-PBE) for a relaxed Ti6Al16Co7 crystal.

Results
The formation energy comes out at -0.514 eV per atom. For the calculated volume, the calculation gives 14.05 A^3/atom. The density of states at the Fermi level is 1.004 states/eV per atom. Its space group is Fm-3m.

Cell lengths 8.321, 8.321, 8.321 Å; angles 60.00, 60.00, 60.00 degrees
Sites, in units of the cell vectors:
1 Al 0.018 0.661 0.661
2 Al 0.339 0.339 0.339
3 Al 0.339 0.339 0.982
4 Al 0.339 0.982 0.339
5 Al 0.881 0.356 0.881
6 Al 0.982 0.339 0.339
7 Al 0.644 0.119 0.119
8 Al 0.661 0.661 0.661
9 Al 0.881 0.881 0.356
10 Al 0.119 0.119 0.119
11 Al 0.119 0.644 0.119
12 Al 0.661 0.018 0.661
13 Al 0.119 0.119 0.644
14 Al 0.661 0.661 0.018
15 Al 0.881 0.881 0.881
16 Al 0.356 0.881 0.881
17 Co 0.000 0.500 0.000
18 Co 0.000 0.000 0.500
19 Co 0.500 0.500 0.000
20 Co 0.500 0.000 0.500
21 Co 0.000 0.000 0.000
22 Co 0.000 0.500 0.500
23 Co 0.500 0.000 0.000
24 Ti 0.688 0.688 0.312
25 Ti 0.688 0.312 0.688
26 Ti 0.312 0.688 0.688
27 Ti 0.688 0.312 0.312
28 Ti 0.312 0.312 0.688
29 Ti 0.312 0.688 0.312